Record 1
Here is a geometry-optimized KZr2Ir structure from Alexandria. Energies are from PBE.

Calculated values
- magnetic moment (μB per formula unit) = 0.00
- N(E_F) (states/eV/atom) = 1.3025
- calculated density (g/cm3) = 8.0
- E (Ry/atom) = -0.44662
- energy above the lowest structure with this stoichiometry (eV per atom) = 0.694

Cell: 5.866 5.866 5.866 Å, 139.02 139.02 59.34°
Fractional coordinates of all 4 atoms:
K 0.000 0.000 0.000
Zr 0.250 0.750 0.500
Zr 0.500 0.500 0.000
Ir 0.750 0.250 0.500

Record 2
Here is a geometry-optimized La2Tb5Y12 structure from Alexandria. Energies are from PBE.

Calculated values
- magnetic moment (μB per formula unit) = 0.00
- N(E_F) (states/eV/atom) = 1.5294
- calculated density (g/cm3) = 5.6
- E (Ry/atom) = -0.41780
- energy above the lowest structure with this stoichiometry (eV per atom) = 0.075

Cell: 9.175 9.175 8.620 Å, 91.19 91.19 61.39°
Fractional coordinates of all 19 atoms:
La 0.184 0.816 0.000
La 0.816 0.184 0.000
Tb 0.198 0.198 0.010
Tb 0.268 0.268 0.423
Tb 0.500 0.500 0.500
Tb 0.732 0.732 0.577
Tb 0.802 0.802 0.990
Y 0.058 0.058 0.327
Y 0.064 0.683 0.349
Y 0.165 0.524 0.757
Y 0.317 0.936 0.651
Y 0.409 0.409 0.120
Y 0.476 0.835 0.243
Y 0.524 0.165 0.757
Y 0.591 0.591 0.880
Y 0.683 0.064 0.349
Y 0.835 0.476 0.243
Y 0.936 0.317 0.651
Y 0.942 0.942 0.673

Question: calculated density of number 2 (La2Tb5Y12)?
Answer: 5.6 g/cm3

Please write out number 1 again, unchanged.
Here is a geometry-optimized KZr2Ir structure from Alexandria. Energies are from PBE.

Calculated values
- magnetic moment (μB per formula unit) = 0.00
- N(E_F) (states/eV/atom) = 1.3025
- calculated density (g/cm3) = 8.0
- E (Ry/atom) = -0.44662
- energy above the lowest structure with this stoichiometry (eV per atom) = 0.694

Cell: 5.866 5.866 5.866 Å, 139.02 139.02 59.34°
Fractional coordinates of all 4 atoms:
K 0.000 0.000 0.000
Zr 0.250 0.750 0.500
Zr 0.500 0.500 0.000
Ir 0.750 0.250 0.500

Question: The lowest energy above the lowest structure with this stoichiometry belongs to which entry?
Answer: La2Tb5Y12